# USi2Ru2Rh (PBE, relaxed)
# - total DFT energy (no corrections) (eV/atom) = -7.90
# - crystal system = tetragonal
# - total magnetization (μB/atom) = 0.345
# - density of states at the Fermi level (states/eV per cell) = 12.282
# - formation energy without anion corrections (eV per atom) = 0.11
data_USi2Ru2Rh
_cell_length_a 4.514
_cell_length_b 4.514
_cell_length_c 5.235
_cell_angle_alpha 90.00
_cell_angle_beta 90.00
_cell_angle_gamma 90.00
_space_group_name_H-M_alt 'P 4/m m m'
_space_group_IT_number 123
_space_group_name_Hall '-P 4 2'
loop_
_atom_site_label
_atom_site_fract_x
_atom_site_fract_y
_atom_site_fract_z
U1 0.000 0.000 0.000
Si1 0.000 0.500 0.500
Ru1 0.500 0.500 0.243
Rh1 0.000 0.000 0.500

***

# U2Si6RuRh (PBE, relaxed)
# - total DFT energy (no corrections) (eV/atom) = -7.50
# - crystal system = trigonal
# - total magnetization (μB/atom) = 0.539
# - density of states at the Fermi level (states/eV per cell) = 55.464
# - formation energy without anion corrections (eV per atom) = -0.32
data_U2Si6RuRh
_cell_length_a 5.8207
_cell_length_b 5.8207
_cell_length_c 36.6872
_cell_angle_alpha 90.00
_cell_angle_beta 90.00
_cell_angle_gamma 120.00
_space_group_name_H-M_alt 'R -3 m'
_space_group_IT_number 166
_space_group_name_Hall '-R 3 2"'
loop_
_atom_site_label
_atom_site_fract_x
_atom_site_fract_y
_atom_site_fract_z
U1 0.0000 0.0000 0.1275
U2 0.0000 0.0000 0.2820
Si1 0.0571 0.5285 0.7207
Si2 0.0640 0.5320 0.8721
Ru1 0.0000 0.0000 0.4231
Rh1 0.0000 0.0000 0.0000
Rh2 0.0000 0.0000 0.5000

***

# U2Si4RuRh3 (PBE, relaxed)
# - total DFT energy (no corrections) (eV/atom) = -8.30
# - crystal system = tetragonal
# - total magnetization (μB/atom) = 0.386
# - density of states at the Fermi level (states/eV per cell) = 15.679
# - formation energy without anion corrections (eV per atom) = -0.74
data_U2Si4RuRh3
_cell_length_a 4.136
_cell_length_b 4.136
_cell_length_c 9.693
_cell_angle_alpha 90.00
_cell_angle_beta 90.00
_cell_angle_gamma 90.00
_space_group_name_H-M_alt 'P -4 m 2'
_space_group_IT_number 115
loop_
_space_group_symop_operation_xyz
'x,y,z'
'y,-x,-z'
'-x,-y,z'
'-y,x,-z'
'-x,y,z'
'-y,-x,-z'
'x,-y,z'
'y,x,-z'
loop_
_atom_site_label
_atom_site_fract_x
_atom_site_fract_y
_atom_site_fract_z
U1 0.000 0.500 0.246
Si1 0.000 0.000 0.000
Si2 0.000 0.500 0.628
Si3 0.500 0.500 0.000
Ru1 0.000 0.000 0.500
Rh1 0.000 0.500 0.873
Rh2 0.500 0.500 0.500

***

# YSi2RuRh (PBE, relaxed)
# - total DFT energy (no corrections) (eV/atom) = -7.83
# - crystal system = tetragonal
# - total magnetization (μB/atom) = 0.000
# - density of states at the Fermi level (states/eV per cell) = 3.479
# - formation energy without anion corrections (eV per atom) = -1.04
data_YSi2RuRh
_cell_length_a 4.126
_cell_length_b 4.126
_cell_length_c 9.777
_cell_angle_alpha 90.00
_cell_angle_beta 90.00
_cell_angle_gamma 90.00
_space_group_name_H-M_alt 'I -4 m 2'
_space_group_IT_number 119
_space_group_name_Hall 'I -4 -2'
loop_
_atom_site_label
_atom_site_fract_x
_atom_site_fract_y
_atom_site_fract_z
Y1 0.000 0.000 0.000
Si1 0.000 0.000 0.373
Ru1 0.000 0.500 0.750
Rh1 0.000 0.500 0.250

***

- What is the formula in the first record?
  USi2Ru2Rh

***

- Among the records above, which one has the lowest total DFT energy (no corrections)?
  U2Si4RuRh3